Below is an optimized crystal structure of K3Mn2SnO6, with properties calculated at the PBE+U level.

Lattice parameters (Å, degrees): 5.815 9.566 6.467 90.00 109.05 90.00
Space group C2/m (No. 12)
Unique sites:
K  0.000  0.000  0.000 x2
K  0.000  0.331  0.000 x4
Mn  0.000  0.169  0.500 x4
Sn  0.000  0.500  0.500 x2
O  0.209  0.334  0.686 x8
O  0.226  0.000  0.667 x4

Values from the calculation:
D(E_F) ... 6.408 states/eV per cell
Calculated total energy ... -5.909 eV per atom